[1]
A relaxed Ac2Pr2Nd5 crystal, computed with PBE.

It has space group C2/m (No. 12), with a = 18.587 Å, b = 3.688 Å, c = 10.272 Å, α = 90.00°, β = 103.68° and γ = 90.00°. The distinct sites, in fractional coordinates, are Ac at (0.013, 0.000, 0.182), Pr at (0.171, 0.500, 0.402), Nd at (0.000, 0.500, 0.500), Nd at (0.161, 0.000, 0.707) and Nd at (0.164, 0.500, 0.025).

As for the uncorrected energy: -4.53 eV per atom. As for the density of states at the Fermi level: 1.560 states/eV/atom. The calculation puts the total magnetization at 0.00 μB/atom. The energy relative to the elements is 99 meV/atom.

[2]
A relaxed AcPr6Nd2 crystal, computed with PBE.

It has space group Immm (No. 71), with a = 3.572 Å, b = 10.621 Å, c = 17.881 Å, α = 90.00°, β = 90.00° and γ = 90.00°. The distinct sites, in fractional coordinates, are Ac at (0.000, 0.000, 0.000), Pr at (0.000, 0.183, 0.500), Pr at (0.000, 0.193, 0.168) and Nd at (0.000, 0.000, 0.332).

As for the uncorrected energy: -4.53 eV per atom. As for the density of states at the Fermi level: 1.932 states/eV/atom. The calculation puts the total magnetization at 0.00 μB/atom. The energy relative to the elements is 176 meV/atom.

[3]
A relaxed Ac5Pr4Nd crystal, computed with PBE.

It has space group C2/m (No. 12), with a = 19.575 Å, b = 5.512 Å, c = 7.638 Å, α = 90.00°, β = 102.98° and γ = 90.00°. The distinct sites, in fractional coordinates, are Ac at (0.000, 0.000, 0.000), Ac at (0.100, 0.500, 0.799), Ac at (0.200, 0.000, 0.600), Pr at (0.100, 0.500, 0.300), Pr at (0.200, 0.000, 0.100) and Nd at (0.000, 0.000, 0.500).

As for the uncorrected energy: -4.42 eV per atom. As for the density of states at the Fermi level: 1.681 states/eV/atom. The calculation puts the total magnetization at 0.00 μB/atom. The energy relative to the elements is 20 meV/atom.

[4]
A relaxed Ac3Pr2Nd6 crystal, computed with PBE.

It has space group C2/m (No. 12), with a = 6.292 Å, b = 11.958 Å, c = 11.536 Å, α = 90.00°, β = 98.82° and γ = 90.00°. The distinct sites, in fractional coordinates, are Ac at (0.000, 0.000, 0.000), Ac at (0.000, 0.328, 0.000), Pr at (0.000, 0.359, 0.500), Nd at (0.065, 0.156, 0.709) and Nd at (0.086, 0.500, 0.758).

As for the uncorrected energy: -4.43 eV per atom. As for the density of states at the Fermi level: 1.589 states/eV/atom. The calculation puts the total magnetization at 0.00 μB/atom. The energy relative to the elements is 164 meV/atom.

[5]
A relaxed Ac12Pr7Nd crystal, computed with PBE.

It has space group R-3 (No. 148, hexagonal axes), with a = 20.9584 Å, b = 20.9584 Å, c = 6.7248 Å, α = 90.00°, β = 90.00° and γ = 120.00°. The distinct sites, in fractional coordinates, are Ac at (0.0002, 0.4123, 0.0009), Ac at (0.1015, 0.5511, 0.4807), Pr at (0.0000, 0.0000, 0.0000), Pr at (0.0814, 0.9180, 0.3058) and Nd at (0.0000, 0.0000, 0.5000).

As for the uncorrected energy: -4.19 eV per atom. As for the density of states at the Fermi level: 1.363 states/eV/atom. The calculation puts the total magnetization at 0.00 μB/atom. The energy relative to the elements is 186 meV/atom.

[6]
A relaxed Ac3Pr5Nd crystal, computed with PBE.

It has space group I4/mcm (No. 140), with a = 9.270 Å, b = 9.270 Å, c = 16.428 Å, α = 90.00°, β = 90.00° and γ = 90.00°. The distinct sites, in fractional coordinates, are Ac at (0.000, 0.000, 0.250), Ac at (0.127, 0.373, 0.000), Pr at (0.000, 0.000, 0.000), Pr at (0.200, 0.300, 0.358) and Nd at (0.000, 0.500, 0.250).

As for the uncorrected energy: -4.27 eV per atom. As for the density of states at the Fermi level: 1.469 states/eV/atom. The calculation puts the total magnetization at 0.00 μB/atom. The energy relative to the elements is 283 meV/atom.